1.
VASP calculation (PBE) on an optimized crystal structure of K2Cd4Ni.

Geometry as extended XYZ:
```
7
Lattice="-2.568 2.568 8.977 2.568 -2.568 8.977 2.568 2.568 -8.977" Properties=species:S:1:pos:R:3 pbc="T T T"
K 0.000 0.000 2.775
K 0.000 0.000 15.179
Cd 2.568 0.000 0.000
Cd 0.000 0.000 6.456
Cd 0.000 2.568 0.000
Cd 0.000 0.000 11.499
Ni 0.000 0.000 8.977
```

SG: I4/mmm
DOS(E_F) (states/eV/atom): 0.48
Formation energy from the elements (eV per atom): 0.01
Energy (eV per cell): -11.55
Total magnetic moment (μB/f.u.): 0.0

2.
VASP calculation (PBE) on an optimized crystal structure of PuSe5.

Geometry as extended XYZ:
```
6
Lattice="1.996 -9.129 0.000 1.996 9.129 0.000 0.000 0.000 3.989" Properties=species:S:1:pos:R:3 pbc="T T T"
Pu 0.000 0.000 0.000
Se 1.996 6.559 1.995
Se 1.996 2.571 0.000
Se 1.996 0.000 1.995
Se 1.996 -2.571 0.000
Se 1.996 -6.559 1.995
```

SG: Cmmm
DOS(E_F) (states/eV/atom): 1.19
Raw formation energy (meV/atom): -458
Energy (eV per cell): -34.50
Total magnetic moment (μB/f.u.): 3.8

3.
VASP calculation (PBE) on an optimized crystal structure of Rb2HgBiH.

Geometry as extended XYZ:
```
5
Lattice="6.301 0.000 0.000 0.000 6.301 0.000 0.000 0.000 4.421" Properties=species:S:1:pos:R:3 pbc="T T T"
Rb 0.000 3.150 0.000
Rb 3.150 0.000 0.000
Hg 0.000 0.000 2.210
Bi 3.150 3.150 2.210
H 3.150 3.150 0.000
```

SG: P4/mmm
DOS(E_F) (states/eV/atom): 0.32
Energy (eV per cell): -10.28
Total magnetic moment (μB/f.u.): 0.0

4.
VASP calculation (PBE) on an optimized crystal structure of Np4Ge8Ru.

Geometry as extended XYZ:
```
13
Lattice="4.442 0.000 0.000 0.000 4.488 0.000 0.000 0.000 13.308" Properties=species:S:1:pos:R:3 pbc="T T T"
Np 0.000 0.000 0.000
Np 0.000 2.244 1.269
Np 2.221 0.000 1.217
Np 2.221 2.244 3.592
Ge 0.000 0.000 3.216
Ge 0.000 0.000 7.127
Ge 0.000 2.244 5.525
Ge 0.000 2.244 10.791
Ge 2.221 0.000 8.722
Ge 2.221 0.000 11.273
Ge 2.221 2.244 7.071
Ge 2.221 2.244 12.637
Ru 0.000 2.244 8.313
```

SG: Pmm2
DOS(E_F) (states/eV/atom): 1.45
Formation energy from the elements (eV per atom): 0.19
Energy (eV per cell): -95.53
Total magnetic moment (μB/f.u.): 4.5

5.
VASP calculation (PBE) on an optimized crystal structure of NdEr4PbS8.

Geometry as extended XYZ:
```
14
Lattice="4.036 2.330 6.773 -4.036 2.330 6.773 0.000 -4.660 6.773" Properties=species:S:1:pos:R:3 pbc="T T T"
Nd 0.000 0.000 0.000
Er -2.044 -1.180 16.876
Er 0.000 0.000 12.679
Er 2.044 -1.180 16.876
Er 0.000 2.361 16.876
Pb 0.000 0.000 7.530
S -2.101 -1.213 11.698
S 0.000 0.000 4.709
S 0.000 -2.533 8.601
S -2.194 1.267 8.601
S 2.101 -1.213 11.698
S 0.000 2.426 11.698
S 0.000 0.000 15.356
S 2.194 1.267 8.601
```

SG: R3m
DOS(E_F) (states/eV/atom): 0.30
Raw formation energy (meV/atom): -1754
Energy (eV per cell): -84.30
Total magnetic moment (μB/f.u.): 0.0

6.
VASP calculation (PBE) on an optimized crystal structure of CaCdSnCl2.

Geometry as extended XYZ:
```
5
Lattice="5.176 0.000 0.000 0.000 5.176 0.000 0.000 0.000 5.881" Properties=species:S:1:pos:R:3 pbc="T T T"
Ca 0.000 0.000 0.000
Cd 2.588 2.588 2.940
Sn 2.588 2.588 0.000
Cl 0.000 2.588 2.940
Cl 2.588 0.000 2.940
```

SG: P4/mmm
DOS(E_F) (states/eV/atom): 0.79
Raw formation energy (meV/atom): -477
Energy (eV per cell): -13.00
Total magnetic moment (μB/f.u.): 0.0

- What is the energy in the third record?
  -10.28 eV per cell

Please write out number 2 again, unchanged.
VASP calculation (PBE) on an optimized crystal structure of PuSe5.

Geometry as extended XYZ:
```
6
Lattice="1.996 -9.129 0.000 1.996 9.129 0.000 0.000 0.000 3.989" Properties=species:S:1:pos:R:3 pbc="T T T"
Pu 0.000 0.000 0.000
Se 1.996 6.559 1.995
Se 1.996 2.571 0.000
Se 1.996 0.000 1.995
Se 1.996 -2.571 0.000
Se 1.996 -6.559 1.995
```

SG: Cmmm
DOS(E_F) (states/eV/atom): 1.19
Raw formation energy (meV/atom): -458
Energy (eV per cell): -34.50
Total magnetic moment (μB/f.u.): 3.8

- What is the formula in the first record?
  K2Cd4Ni

- Which value of DOS(E_F) does entry 1 give?
  0.48 states/eV/atom